Density functional theory data (PBE) for a geometry-optimized Ag2PdRh2 structure. Values from VASP.

Cell and atoms, written as Quantum ESPRESSO input:
```
&SYSTEM
  ibrav = 0, nat = 10, ntyp = 3
/
ATOMIC_SPECIES
Ag 107.87 Ag.upf
Pd 106.42 Pd.upf
Rh 102.91 Rh.upf
CELL_PARAMETERS angstrom
7.738 0.000 0.000
0.000 7.738 0.000
0.000 0.000 2.825
ATOMIC_POSITIONS crystal
Ag 0.182 0.318 0.000
Ag 0.318 0.818 0.000
Ag 0.682 0.182 0.000
Ag 0.818 0.682 0.000
Pd 0.000 0.000 0.500
Pd 0.500 0.500 0.500
Rh 0.116 0.616 0.500
Rh 0.384 0.116 0.500
Rh 0.616 0.884 0.500
Rh 0.884 0.384 0.500
```

Properties
The value obtained for the formation energy is 2.49 eV/f.u. The value obtained for the theoretical density is 10.366 g/cm3. The calculation puts the total energy at -4.623 eV/atom. The density of states at the Fermi level comes out at 16.7 states/eV per cell.